The following is a DFT calculation (PBE) of a relaxed structure of SmCuB4.

abc: 5.065 5.065 5.065
angles: 143.73 116.52 75.36
Fractional coordinates of all 6 atoms:
Sm 0.000 0.000 0.000
Cu 0.500 0.500 0.000
B 0.065 0.743 0.322
B 0.421 0.743 0.678
B 0.579 0.257 0.322
B 0.935 0.257 0.678

The calculated total energy is -5.841 eV per atom. The calculation puts the total magnetization at 0.00 μB per formula unit. As for the energy above the most stable polymorph in this dataset: 0.048 eV per atom.

---

The following is a DFT calculation (PBE) of a relaxed structure of SmCuB.

abc: 4.441 4.441 4.441
angles: 60.00 60.00 60.00
Fractional coordinates of all 3 atoms:
Sm 0.000 0.000 0.000
Cu 0.250 0.250 0.250
B 0.750 0.750 0.750

The calculated total energy is -4.132 eV per atom. The calculation puts the total magnetization at 0.00 μB per formula unit. As for the energy above the most stable polymorph in this dataset: 0.720 eV per atom.

---

The following is a DFT calculation (PBE) of a relaxed structure of SmCuB4.

abc: 3.217 3.217 6.759
angles: 90.00 90.00 120.00
Fractional coordinates of all 6 atoms:
Sm 0.000 0.000 0.000
Cu 0.000 0.000 0.500
B 0.333 0.667 0.291
B 0.333 0.667 0.709
B 0.667 0.333 0.291
B 0.667 0.333 0.709

The calculated total energy is -5.890 eV per atom. The calculation puts the total magnetization at 0.00 μB per formula unit. As for the energy above the most stable polymorph in this dataset: 0.000 eV per atom.

---

The following is a DFT calculation (PBE) of a relaxed structure of SmCuB.

abc: 4.205 4.205 4.205
angles: 60.00 60.00 60.00
Fractional coordinates of all 3 atoms:
Sm 0.000 0.000 0.000
Cu 0.500 0.500 0.500
B 0.750 0.750 0.750

The calculated total energy is -4.852 eV per atom. The calculation puts the total magnetization at 0.26 μB per formula unit. As for the energy above the most stable polymorph in this dataset: 0.000 eV per atom.

---

The following is a DFT calculation (PBE) of a relaxed structure of CuSn2B.

abc: 4.748 4.748 4.748
angles: 60.00 60.00 60.00
Fractional coordinates of all 4 atoms:
Cu 0.000 0.000 0.000
Sn 0.250 0.250 0.250
Sn 0.500 0.500 0.500
B 0.750 0.750 0.750

The calculated total energy is -3.539 eV per atom.

---

The following is a DFT calculation (PBE) of a relaxed structure of CuSnB4.

abc: 4.792 4.792 4.792
angles: 142.02 111.96 80.66
Fractional coordinates of all 6 atoms:
Cu 0.000 0.000 0.000
Sn 0.500 0.500 0.000
B 0.078 0.745 0.334
B 0.411 0.745 0.666
B 0.589 0.255 0.334
B 0.922 0.255 0.666

The calculated total energy is -5.208 eV per atom. As for the energy above the most stable polymorph in this dataset: 0.056 eV per atom.

---

The following is a DFT calculation (PBE) of a relaxed structure of CuSnB4.

abc: 3.045 3.045 8.018
angles: 90.00 90.00 120.00
Fractional coordinates of all 6 atoms:
Cu 0.000 0.000 0.000
Sn 0.000 0.000 0.500
B 0.333 0.667 0.198
B 0.333 0.667 0.802
B 0.667 0.333 0.198
B 0.667 0.333 0.802

The calculated total energy is -5.264 eV per atom. As for the energy above the most stable polymorph in this dataset: 0.000 eV per atom.

---

The following is a DFT calculation (PBE) of a relaxed structure of CuSnB2.

abc: 4.217 4.217 4.217
angles: 60.00 60.00 60.00
Fractional coordinates of all 4 atoms:
Cu 0.000 0.000 0.000
Sn 0.750 0.750 0.750
B 0.250 0.250 0.250
B 0.500 0.500 0.500

The calculated total energy is -3.714 eV per atom.

---

The following is a DFT calculation (PBE) of a relaxed structure of TaCu2B4.

abc: 6.764 6.764 6.764
angles: 153.76 151.70 38.98
Fractional coordinates of all 7 atoms:
Ta 0.000 0.000 0.000
Cu 0.191 0.691 0.500
Cu 0.809 0.309 0.500
B 0.362 0.862 0.500
B 0.428 0.428 0.000
B 0.572 0.572 0.000
B 0.638 0.138 0.500

The calculated total energy is -6.697 eV per atom. The calculation puts the total magnetization at 0.00 μB per formula unit.

---

The following is a DFT calculation (PBE) of a relaxed structure of Ta3CuB2.

abc: 3.227 3.227 18.359
angles: 90.00 90.00 120.00
Fractional coordinates of all 12 atoms:
Ta 0.000 0.000 0.000
Ta 0.000 0.000 0.500
Ta 0.333 0.667 0.140
Ta 0.333 0.667 0.360
Ta 0.667 0.333 0.640
Ta 0.667 0.333 0.860
Cu 0.000 0.000 0.250
Cu 0.000 0.000 0.750
B 0.333 0.667 0.575
B 0.333 0.667 0.925
B 0.667 0.333 0.075
B 0.667 0.333 0.425

The calculated total energy is -9.090 eV per atom. The calculation puts the total magnetization at 0.01 μB per formula unit.

---

The following is a DFT calculation (PBE) of a relaxed structure of TaCuB.

abc: 3.961 3.961 3.961
angles: 60.00 60.00 60.00
Fractional coordinates of all 3 atoms:
Ta 0.000 0.000 0.000
Cu 0.250 0.250 0.250
B 0.750 0.750 0.750

The calculated total energy is -6.574 eV per atom. The calculation puts the total magnetization at 0.00 μB per formula unit.

---

The following is a DFT calculation (PBE) of a relaxed structure of TaCuB.

abc: 3.838 3.838 3.838
angles: 60.00 60.00 60.00
Fractional coordinates of all 3 atoms:
Ta 0.000 0.000 0.000
Cu 0.750 0.750 0.750
B 0.500 0.500 0.500

The calculated total energy is -6.738 eV per atom. The calculation puts the total magnetization at 0.00 μB per formula unit.